# 1
Crystalline ZrCr2 at its relaxed geometry, computed with PBE-GGA.

```
ZrCr2
1.0
2.941 0.000 0.000
-1.470 2.547 0.000
0.000 0.000 6.267
Cr Zr
2 1
Cartesian
0.000 1.698 4.445
0.000 0.000 5.999
1.470 0.849 2.089
```

Computed properties:
Space-group type: P-3m1, No. 164

---

# 2
Crystalline ZrCr3 at its relaxed geometry, computed with PBE-GGA.

```
ZrCr3
1.0
2.817 0.000 0.006
0.000 3.920 0.000
1.119 0.000 5.268
Cr Zr
3 1
Cartesian
0.984 1.960 1.318
1.909 0.000 2.323
2.876 0.000 0.319
2.952 1.960 3.955
```

Computed properties:
Space-group type: P2/m, No. 10

---

# 3
Crystalline Zr3Cr at its relaxed geometry, computed with PBE-GGA.

```
Zr3Cr
1.0
-4.475 1.576 -4.066
-3.753 -4.396 -2.374
-6.427 1.378 7.608
Zr Cr
12 4
Cartesian
-5.451 1.477 1.771
-4.114 -1.410 -3.220
-4.874 -2.390 -0.363
-5.249 0.710 -1.241
-5.090 -1.509 2.617
-1.876 -2.198 -1.187
-2.926 -0.108 0.870
-9.781 0.947 1.530
-9.406 -2.153 2.408
-7.327 -0.721 0.584
-11.729 -1.335 0.298
-2.238 0.788 -2.033
0.000 0.000 0.000
-3.213 0.689 3.804
-7.563 0.093 3.559
-7.092 -1.536 -2.392
```

Computed properties:
Space-group type: P6_3/mmc, No. 194

---

# 4
Crystalline Zr3Cr at its relaxed geometry, computed with PBE-GGA.

```
Zr3Cr
1.0
4.353 0.000 0.000
-2.176 4.963 -0.035
0.000 1.937 3.898
Cr Zr
1 3
Cartesian
0.000 0.000 0.000
2.176 0.968 1.949
0.000 2.966 0.957
2.176 3.934 2.906
```

Computed properties:
Space-group type: I4/mmm, No. 139

---

# 5
Crystalline Zr4Cr at its relaxed geometry, computed with PBE-GGA.

```
Zr4Cr
1.0
5.748 0.898 -0.177
-4.742 -0.507 3.337
0.367 -5.688 -1.177
Zr Cr
4 1
Cartesian
1.775 -1.625 1.401
-1.199 -1.062 2.278
-0.401 -3.672 0.583
2.572 -4.235 -0.295
0.000 0.000 0.000
```

Computed properties:
Energy relative to the lowest polymorph listed for this composition in meV/atom: 0
Space-group type: I4/m, No. 87

---

# 6
Crystalline ZrCr3 at its relaxed geometry, computed with PBE-GGA.

```
ZrCr3
1.0
0.761 -5.800 7.405
4.184 -2.188 8.171
-4.188 5.355 -6.545
Cr Zr
6 2
Cartesian
1.235 -0.413 4.707
4.312 -6.965 13.581
0.633 -1.023 1.995
-0.002 1.584 0.813
-1.713 -0.223 0.430
-0.477 -2.219 4.324
1.859 -3.002 5.854
3.087 -4.986 9.722
```

Computed properties:
Space-group type: I4/mmm, No. 139

---

# 7
Crystalline Zr2Cr at its relaxed geometry, computed with PBE-GGA.

```
Zr2Cr
1.0
2.344 4.190 0.256
-4.006 -0.357 -2.635
-3.347 1.575 4.875
Zr Cr
4 2
Cartesian
-1.673 0.787 2.438
-4.399 2.340 1.985
-0.609 3.068 0.511
0.000 0.000 0.000
-2.726 1.553 -0.452
-2.283 3.856 2.949
```

Computed properties:
Space-group type: P6_3/mmc, No. 194

---

# 8
Crystalline ZrCr2 at its relaxed geometry, computed with PBE-GGA.

```
ZrCr2
1.0
-1.780 3.010 7.273
-3.063 6.421 3.810
0.124 -5.726 -5.686
Cr Zr
4 2
Cartesian
-2.011 3.916 4.602
-2.270 1.906 0.894
-2.832 5.514 6.480
-3.091 3.504 2.772
0.000 0.000 0.000
-2.039 1.000 3.564
```

Computed properties:
Space-group type: I4_1/amd, No. 141

---

# 9
Crystalline ZrCr5 at its relaxed geometry, computed with PBE-GGA.

```
ZrCr5
1.0
-1.171 4.524 1.627
0.321 -0.876 -4.860
-3.840 -0.966 -0.080
Cr Zr
5 1
Cartesian
0.160 -0.438 -2.430
-0.586 2.262 0.813
-2.096 0.441 -2.737
-0.425 1.824 -1.617
-2.594 2.241 -0.575
-1.920 -0.483 -0.040
```

Computed properties:
Energy relative to the lowest polymorph listed for this composition in meV/atom: 20
Space-group type: P6/mmm, No. 191

---

# 10
Crystalline ZrCr4 at its relaxed geometry, computed with PBE-GGA.

```
ZrCr4
1.0
4.726 0.000 0.000
0.000 4.726 0.000
0.000 0.000 4.726
Zr Cr
1 4
Cartesian
2.363 2.363 2.363
2.363 2.363 0.000
0.000 0.000 0.000
0.000 2.363 2.363
2.363 0.000 2.363
```

Computed properties:
Energy relative to the lowest polymorph listed for this composition in meV/atom: 1595
Space-group type: Pm-3m, No. 221

---

# 11
Crystalline ZrCr4 at its relaxed geometry, computed with PBE-GGA.

```
ZrCr4
1.0
4.032 -0.779 -2.874
-2.551 -1.527 4.035
-3.271 -1.850 -3.317
Cr Zr
4 1
Cartesian
-3.360 -2.506 -0.693
-0.753 -1.662 -2.341
-1.037 -2.493 0.185
1.569 -1.649 -1.463
0.000 0.000 0.000
```

Computed properties:
Energy relative to the lowest polymorph listed for this composition in meV/atom: 0
Space-group type: I4/m, No. 87

---

# 12
Crystalline ZrCr2 at its relaxed geometry, computed with PBE-GGA.

```
ZrCr2
1.0
5.383 0.000 0.000
0.000 4.577 0.000
0.000 0.000 7.517
Cr Zr
8 4
Cartesian
2.525 3.433 5.855
4.569 3.433 3.349
0.166 1.144 2.096
0.814 1.144 4.168
1.877 3.433 0.409
5.216 3.433 5.422
3.506 1.144 7.108
2.858 1.144 1.663
4.491 3.433 0.720
1.800 3.433 3.038
0.892 1.144 6.797
3.583 1.144 4.479
```

Computed properties:
Space-group type: Pnma, No. 62

---

Number 1: spin magnetization 0.000 μB per atom, ΔE_f 1.4 eV/f.u., final energy -8.805 eV per atom. Number 2: spin magnetization 0.000 μB per atom, ΔE_f 1.1 eV/f.u., final energy -9.084 eV per atom. Number 3: spin magnetization 0.712 μB per atom, ΔE_f 1.0 eV/f.u., final energy -8.579 eV per atom. Number 4: spin magnetization 0.799 μB per atom, ΔE_f 1.0 eV/f.u., final energy -8.559 eV per atom. Number 5: spin magnetization 0.000 μB per atom, ΔE_f 0.5 eV/f.u., final energy -8.673 eV per atom. Number 6: spin magnetization 0.000 μB per atom, ΔE_f 1.9 eV/f.u., final energy -8.880 eV per atom. Number 7: spin magnetization 0.798 μB per atom, ΔE_f 0.7 eV/f.u., final energy -8.672 eV per atom. Number 8: spin magnetization 0.000 μB per atom, ΔE_f 1.3 eV/f.u., final energy -8.833 eV per atom. Number 9: spin magnetization 0.000 μB per atom, ΔE_f 0.8 eV/f.u., final energy -9.307 eV per atom. Number 10: spin magnetization 1.076 μB per atom, ΔE_f 9.0 eV/f.u., final energy -7.603 eV per atom. Number 11: spin magnetization 0.000 μB per atom, ΔE_f 1.1 eV/f.u., final energy -9.198 eV per atom. Number 12: spin magnetization 0.000 μB per atom, ΔE_f 0.9 eV/f.u., final energy -8.981 eV per atom.